VASP calculation (GGA-PBE) on a relaxed structure of Ac2Si3Pd12Au.

Cell and atoms, written as CIF:
```
data_Ac2Si3Pd12Au
_chemical_formula_sum 'Ac6 Si9 Pd36 Au3'
_cell_length_a 8.5780
_cell_length_b 8.5780
_cell_length_c 17.3434
_cell_angle_alpha 90.00
_cell_angle_beta 90.00
_cell_angle_gamma 120.00
_symmetry_space_group_name_H-M 'R -3 m'
_symmetry_Int_Tables_number 166
_symmetry_space_group_name_Hall '-R 3 2"'
loop_
_atom_site_label
_atom_site_type_symbol
_atom_site_fract_x
_atom_site_fract_y
_atom_site_fract_z
Ac1 Ac 0.0000 0.0000 0.1124
Si1 Si 0.0000 0.5000 0.0000
Pd1 Pd 0.0103 0.5051 0.8685
Pd2 Pd 0.0402 0.5201 0.3606
Au1 Au 0.0000 0.0000 0.5000
```

Values from the calculation:
V = 368 Å³/f.u.
Formation energy (no corrections) = -353 meV per atom
Crystal system = trigonal
Final energy = -5.36 eV per atom